(1)
The following is a DFT calculation (PBE) of a relaxed structure of Pm3Nd4In4.

## Properties
DOS at the Fermi energy   21.55 states/eV/cell
E   -4.340 eV/atom
V   31.764 Å³ per atom

Cell and atoms, written as CIF:
```
data_Pm3Nd4In4
_space_group_name_H-M_alt 'I m m m'
_space_group_IT_number 71
_space_group_name_Hall '-I 2 2'
_cell_length_a 3.737
_cell_length_b 9.572
_cell_length_c 19.536
_cell_angle_alpha 90.00
_cell_angle_beta 90.00
_cell_angle_gamma 90.00
loop_
_atom_site_label
_atom_site_type_symbol
_atom_site_fract_x
_atom_site_fract_y
_atom_site_fract_z
_atom_site_occupancy
Pm1 Pm 0.000 0.000 0.000 1
Pm2 Pm 0.000 0.500 0.095 1
Nd1 Nd 0.000 0.321 0.336 1
In1 In 0.000 0.000 0.273 1
In2 In 0.000 0.220 0.500 1
```

(2)
The following is a DFT calculation (PBE) of a relaxed structure of Pm2Nd6In.

## Properties
DOS at the Fermi energy   26.85 states/eV/cell
Excess energy over the best structure of this formula in the dataset   0.000 eV per atom
V   33.495 Å³ per atom

Cell and atoms, written as CIF:
```
data_Pm2Nd6In
_space_group_name_H-M_alt 'P 42/m n m'
_space_group_IT_number 136
_space_group_name_Hall '-P 4n 2n'
_cell_length_a 10.931
_cell_length_b 10.931
_cell_length_c 5.046
_cell_angle_alpha 90.00
_cell_angle_beta 90.00
_cell_angle_gamma 90.00
loop_
_atom_site_label
_atom_site_type_symbol
_atom_site_fract_x
_atom_site_fract_y
_atom_site_fract_z
_atom_site_occupancy
Pm1 Pm 0.160 0.160 0.000 1
Nd1 Nd 0.000 0.333 0.500 1
Nd2 Nd 0.160 0.840 0.000 1
In1 In 0.000 0.000 0.500 1
```

(3)
The following is a DFT calculation (PBE) of a relaxed structure of PmNd2In6.

## Properties
DOS at the Fermi energy   3.29 states/eV/cell
E   -3.879 eV/atom
V   26.898 Å³ per atom

Cell and atoms, written as CIF:
```
data_PmNd2In6
_space_group_name_H-M_alt 'P 6/m m m'
_space_group_IT_number 191
_space_group_name_Hall '-P 6 2'
_cell_length_a 8.6724
_cell_length_b 8.6724
_cell_length_c 3.7166
_cell_angle_alpha 90.00
_cell_angle_beta 90.00
_cell_angle_gamma 120.00
loop_
_atom_site_label
_atom_site_type_symbol
_atom_site_fract_x
_atom_site_fract_y
_atom_site_fract_z
_atom_site_occupancy
Pm1 Pm 0.0000 0.0000 0.0000 1
Nd1 Nd 0.3333 0.6667 0.0000 1
In1 In 0.0000 0.3329 0.5000 1
```

(4)
The following is a DFT calculation (PBE) of a relaxed structure of Pm2Nd2In.

## Properties
DOS at the Fermi energy   25.53 states/eV/cell
Excess energy over the best structure of this formula in the dataset   0.485 eV per atom
V   36.398 Å³ per atom

Cell and atoms, written as CIF:
```
data_Pm2Nd2In
_space_group_name_H-M_alt 'C m m m'
_space_group_IT_number 65
_space_group_name_Hall '-C 2 2'
_cell_length_a 11.516
_cell_length_b 18.189
_cell_length_c 3.475
_cell_angle_alpha 90.00
_cell_angle_beta 90.00
_cell_angle_gamma 90.00
loop_
_atom_site_label
_atom_site_type_symbol
_atom_site_fract_x
_atom_site_fract_y
_atom_site_fract_z
_atom_site_occupancy
Pm1 Pm 0.000 0.166 0.000 1
Pm2 Pm 0.134 0.000 0.000 1
Nd1 Nd 0.000 0.320 0.500 1
Nd2 Nd 0.133 0.500 0.500 1
In1 In 0.250 0.250 0.000 1
```

(5)
The following is a DFT calculation (PBE) of a relaxed structure of PmNd3In.

## Properties
DOS at the Fermi energy   26.88 states/eV/cell
Excess energy over the best structure of this formula in the dataset   0.000 eV per atom
V   31.691 Å³ per atom

Cell and atoms, written as CIF:
```
data_PmNd3In
_space_group_name_H-M_alt 'C m c m'
_space_group_IT_number 63
_space_group_name_Hall '-C 2c 2'
_cell_length_a 4.933
_cell_length_b 26.031
_cell_length_c 4.936
_cell_angle_alpha 90.00
_cell_angle_beta 90.00
_cell_angle_gamma 90.00
loop_
_atom_site_label
_atom_site_type_symbol
_atom_site_fract_x
_atom_site_fract_y
_atom_site_fract_z
_atom_site_occupancy
Pm1 Pm 0.000 0.152 0.250 1
Nd1 Nd 0.000 0.054 0.750 1
Nd2 Nd 0.000 0.249 0.750 1
Nd3 Nd 0.000 0.447 0.750 1
In1 In 0.000 0.347 0.250 1
```

(6)
The following is a DFT calculation (PBE) of a relaxed structure of Pm4Nd5In.

## Properties
DOS at the Fermi energy   27.26 states/eV/cell
Excess energy over the best structure of this formula in the dataset   0.100 eV per atom
V   35.095 Å³ per atom

Cell and atoms, written as CIF:
```
data_Pm4Nd5In
_space_group_name_H-M_alt 'I 4 m m'
_space_group_IT_number 107
_space_group_name_Hall 'I 4 -2'
_cell_length_a 10.732
_cell_length_b 10.732
_cell_length_c 6.094
_cell_angle_alpha 90.00
_cell_angle_beta 90.00
_cell_angle_gamma 90.00
loop_
_atom_site_label
_atom_site_type_symbol
_atom_site_fract_x
_atom_site_fract_y
_atom_site_fract_z
_atom_site_occupancy
Pm1 Pm 0.000 0.313 0.000 1
Nd1 Nd 0.000 0.000 0.789 1
Nd2 Nd 0.187 0.187 0.506 1
In1 In 0.000 0.000 0.268 1
```

(7)
The following is a DFT calculation (PBE) of a relaxed structure of PmNdIn.

## Properties
DOS at the Fermi energy   2.28 states/eV/cell
Excess energy over the best structure of this formula in the dataset   0.043 eV per atom
V   30.743 Å³ per atom

Cell and atoms, written as CIF:
```
data_PmNdIn
_space_group_name_H-M_alt 'P 3 m 1'
_space_group_IT_number 156
_cell_length_a 5.3353
_cell_length_b 5.3353
_cell_length_c 3.7413
_cell_angle_alpha 90.00
_cell_angle_beta 90.00
_cell_angle_gamma 120.00
loop_
_space_group_symop_operation_xyz
'x,y,z'
'-y,x-y,z'
'-x+y,-x,z'
'-y,-x,z'
'-x+y,y,z'
'x,x-y,z'
loop_
_atom_site_label
_atom_site_type_symbol
_atom_site_fract_x
_atom_site_fract_y
_atom_site_fract_z
_atom_site_occupancy
Pm1 Pm 0.0000 0.0000 0.0000 1
Nd1 Nd 0.6667 0.3333 0.4248 1
In1 In 0.3333 0.6667 0.7245 1
```

(8)
The following is a DFT calculation (PBE) of a relaxed structure of Pm4NdIn.

## Properties
DOS at the Fermi energy   11.26 states/eV/cell
Excess energy over the best structure of this formula in the dataset   0.070 eV per atom
V   32.435 Å³ per atom

Cell and atoms, written as CIF:
```
data_Pm4NdIn
_space_group_name_H-M_alt 'P 4/m m m'
_space_group_IT_number 123
_space_group_name_Hall '-P 4 2'
_cell_length_a 4.196
_cell_length_b 4.196
_cell_length_c 11.051
_cell_angle_alpha 90.00
_cell_angle_beta 90.00
_cell_angle_gamma 90.00
loop_
_atom_site_label
_atom_site_type_symbol
_atom_site_fract_x
_atom_site_fract_y
_atom_site_fract_z
_atom_site_occupancy
Pm1 Pm 0.000 0.000 0.148 1
Pm2 Pm 0.500 0.500 0.328 1
Nd1 Nd 0.000 0.000 0.500 1
In1 In 0.500 0.500 0.000 1
```

Copy entry 4 word for word.
The following is a DFT calculation (PBE) of a relaxed structure of Pm2Nd2In.

## Properties
DOS at the Fermi energy   25.53 states/eV/cell
Excess energy over the best structure of this formula in the dataset   0.485 eV per atom
V   36.398 Å³ per atom

Cell and atoms, written as CIF:
```
data_Pm2Nd2In
_space_group_name_H-M_alt 'C m m m'
_space_group_IT_number 65
_space_group_name_Hall '-C 2 2'
_cell_length_a 11.516
_cell_length_b 18.189
_cell_length_c 3.475
_cell_angle_alpha 90.00
_cell_angle_beta 90.00
_cell_angle_gamma 90.00
loop_
_atom_site_label
_atom_site_type_symbol
_atom_site_fract_x
_atom_site_fract_y
_atom_site_fract_z
_atom_site_occupancy
Pm1 Pm 0.000 0.166 0.000 1
Pm2 Pm 0.134 0.000 0.000 1
Nd1 Nd 0.000 0.320 0.500 1
Nd2 Nd 0.133 0.500 0.500 1
In1 In 0.250 0.250 0.000 1
```

> Look up the V of the fifth one.

31.691 Å³ per atom